Record 1
Ce2NdCd2In2: relaxed, GGA-PBE.

Its symmetry is R-3m (166). The magnetic moment is 2.1 Bohr magnetons per cell.

a b c (Å): 4.818 4.818 9.676
angles (deg): 75.58 75.58 60.00
Each line ends with the local moment (μB).
Positions (direct):
Ce  0.145  0.145  0.566  0.92
Ce  0.855  0.855  0.434  0.92
Nd  0.000  0.000  0.000  0.00
Cd  0.583  0.583  0.250  -0.01
Cd  0.417  0.417  0.750  -0.01
In  0.733  0.733  0.802  -0.02
In  0.267  0.267  0.198  -0.02

***

Record 2
CeNd2Cd2In2: relaxed, GGA-PBE.

Its symmetry is R-3m (166). The magnetic moment is 1.3 Bohr magnetons per cell.

a b c (Å): 5.045 5.045 9.476
angles (deg): 74.56 74.56 60.00
Each line ends with the local moment (μB).
Positions (direct):
Ce  0.000  0.000  0.000  0.89
Nd  0.127  0.127  0.618  0.07
Nd  0.873  0.873  0.382  0.07
Cd  0.603  0.603  0.191  0.01
Cd  0.397  0.397  0.809  0.01
In  0.737  0.737  0.790  0.00
In  0.263  0.263  0.210  0.00

***

no.,formation enthalpy at 0 K (meV per atom)
1,-238
2,-252